This record from the Alexandria database describes a geometry-optimized Zr3Cd structure. The functional is PBE.

abc: 6.6093 8.7011 3.1373
angles: 90.00 90.00 90.00
Last column: nearest neighbours and their distance in Å.
Space group Cmmm (No. 65)
Unique sites:
Zr1 0.0000 0.0000 0.0000 (multiplicity 2)  10 Zr 3.14-3.15, 2 Cd 3.30
Zr2 0.2500 0.2500 0.5000 (multiplicity 4)  8 Zr 3.14-3.30, 4 Cd 3.15
Cd1 0.0000 0.5000 0.0000 (multiplicity 2)  2 Cd 3.14, 10 Zr 3.15-3.30

M_tot, μB/f.u.: 0.000
ΔE_f, meV per atom: 3